# PBE+U PrCoAs2O8, optimized geometry
data_PrCoAs2O8
_chemical_formula_sum 'Pr2 Co2 As4 O16'
_cell_length_a 7.235
_cell_length_b 7.235
_cell_length_c 6.219
_cell_angle_alpha 90.00
_cell_angle_beta 90.00
_cell_angle_gamma 90.00
_symmetry_space_group_name_H-M 'I -4 m 2'
_symmetry_Int_Tables_number 119
_symmetry_space_group_name_Hall 'I -4 -2'
loop_
_atom_site_label
_atom_site_type_symbol
_atom_site_fract_x
_atom_site_fract_y
_atom_site_fract_z
Pr1 Pr 0.000 0.000 0.000
Co1 Co 0.000 0.500 0.750
As1 As 0.000 0.000 0.500
As2 As 0.000 0.500 0.250
O1 O 0.000 0.187 0.674
O2 O 0.000 0.331 0.055
# VASP energy (eV for the cell shown): -153.91